No. 1
Density functional theory data (PBE+U) for a geometry-optimized NaHo2MnO5 structure.

As for the crystal system: tetragonal.

It has space group P4/mbm (No. 127), with a = 6.436 Å, b = 6.436 Å, c = 5.695 Å, α = 90.00°, β = 90.00° and γ = 90.00°. The inequivalent atoms are Na at (0.000, 0.000, 0.000), Ho at (0.178, 0.322, 0.500), Mn at (0.000, 0.500, 0.000), O at (0.000, 0.000, 0.500) and O at (0.139, 0.639, 0.245).

No. 2
Density functional theory data (PBE+U) for a geometry-optimized Na4Ho3MnO8 structure.

As for the density of states at the Fermi level: 0.036 states/eV/cell. As for the crystal system: monoclinic.

It has space group C2/m (No. 12), with a = 11.462 Å, b = 6.714 Å, c = 6.775 Å, α = 90.00°, β = 124.86° and γ = 90.00°. The inequivalent atoms are Na at (0.000, 0.000, 0.000), Na at (0.000, 0.500, 0.000), Na at (0.250, 0.250, 0.000), Ho at (0.000, 0.000, 0.500), Ho at (0.250, 0.250, 0.500), Mn at (0.000, 0.500, 0.500), O at (0.010, 0.250, 0.283), O at (0.213, 0.500, 0.693) and O at (0.239, 0.000, 0.711).

No. 3
Density functional theory data (PBE+U) for a geometry-optimized NaHoMnO3 structure.

As for the crystal system: orthorhombic.

It has space group Cmcm (No. 63), with a = 3.533 Å, b = 14.422 Å, c = 8.921 Å, α = 90.00°, β = 90.00° and γ = 90.00°. The inequivalent atoms are Na at (0.000, 0.130, 0.250), Ho at (0.000, 0.500, 0.000), Mn at (0.000, 0.095, 0.750), O at (0.000, 0.100, 0.528) and O at (0.000, 0.490, 0.750).

Values of total magnetization, in order: 0.444; 0.250; 0.833, all in μB per atom.
Values of VASP energy, in order: -7.353; -6.618; -6.910, all in eV/atom.